Density functional theory data (PBE with a Hubbard U) for a relaxed structure of MgAgMoF6.

M_tot: 0.328 μB/atom
Fermi-level density of states: 0.000 states/eV/atom
VASP energy: -0.3717 Ry/atom

abc: 5.5597 5.5597 10.2585
angles: 90.00 90.00 120.00
Last column: nearest neighbours and their distance in Å.
Positions (direct):
Mg (0.3333, 0.6667, 0.2500)  6 F 2.03
Mg (0.6667, 0.3333, 0.7500)  6 F 2.03
Ag (0.0000, 0.0000, 0.0000)  6 F 2.52
Ag (0.0000, 0.0000, 0.5000)  6 F 2.52
Mo (0.3333, 0.6667, 0.7500)  6 F 2.11
Mo (0.6667, 0.3333, 0.2500)  6 F 2.11
F (0.0108, 0.3702, 0.1460)  1 Mg 2.03, 1 Mo 2.11
F (0.0108, 0.6405, 0.3540)  1 Mg 2.03, 1 Mo 2.11
F (0.3595, 0.3702, 0.3540)  1 Mg 2.03, 1 Mo 2.11
F (0.3595, 0.9892, 0.1460)  1 Mg 2.03, 1 Mo 2.11
F (0.3702, 0.0108, 0.6460)  1 Mg 2.03, 1 Mo 2.11
F (0.3702, 0.3595, 0.8540)  1 Mg 2.03, 1 Mo 2.11
F (0.6298, 0.6405, 0.1460)  1 Mg 2.03, 1 Mo 2.11
F (0.6298, 0.9892, 0.3540)  1 Mg 2.03, 1 Mo 2.11
F (0.6405, 0.0108, 0.8540)  1 Mg 2.03, 1 Mo 2.11
F (0.6405, 0.6298, 0.6460)  1 Mg 2.03, 1 Mo 2.11
F (0.9892, 0.3595, 0.6460)  1 Mg 2.03, 1 Mo 2.11
F (0.9892, 0.6298, 0.8540)  1 Mg 2.03, 1 Mo 2.11